KGa3Mo | GGA-PBE | optimized geometry

Output
Its total energy is -12.0 eV/cell.

Unit cell a=5.4700 b=5.4700 c=5.4700 alpha=90.00 beta=90.00 gamma=90.00
Space group Pm-3m (No. 221)
Symmetry-distinct sites (fractional):
K (0.0000, 0.0000, 0.0000) (multiplicity 1)
Ga (0.0000, 0.0000, 0.5000) (multiplicity 3)
Mo (0.5000, 0.5000, 0.5000) (multiplicity 1)

---

Li2RuBr | GGA-PBE | optimized geometry

Output
Its total energy is -28.8 eV/cell.

Unit cell a=5.1705 b=8.0887 c=2.9925 alpha=90.00 beta=90.00 gamma=90.00
Space group Cmmm (No. 65)
Symmetry-distinct sites (fractional):
Li (0.2500, 0.2500, 0.0000) (multiplicity 4)
Ru (0.0000, 0.0000, 0.5000) (multiplicity 2)
Br (0.0000, 0.5000, 0.5000) (multiplicity 2)